[1]
The following is a PBE calculation of InAgOsSe3 after structural relaxation, from OQMD.

Cell: 7.861 7.861 9.817 Å, 90.00 90.00 27.82°
Positions (direct):
Ag (0.313, 0.313, 0.250)
Ag (0.687, 0.687, 0.750)
In (0.673, 0.673, 0.250)
In (0.327, 0.327, 0.750)
Os (0.000, 0.000, 0.000)
Os (0.000, 0.000, 0.500)
Se (0.392, 0.392, 0.022)
Se (0.040, 0.040, 0.250)
Se (0.392, 0.392, 0.478)
Se (0.608, 0.608, 0.522)
Se (0.960, 0.960, 0.750)
Se (0.608, 0.608, 0.978)

Values from the calculation:
- raw total energy (eV/cell) = -55.2

[2]
The following is a PBE calculation of InAg3OsSe4 after structural relaxation, from OQMD.

Cell: 6.320 6.320 6.320 Å, 90.00 90.00 90.00°
Positions (direct):
Ag (0.500, 0.500, 0.000)
Ag (0.500, 0.000, 0.500)
Ag (0.000, 0.500, 0.500)
In (0.000, 0.000, 0.000)
Os (0.500, 0.500, 0.500)
Se (0.277, 0.277, 0.277)
Se (0.723, 0.723, 0.277)
Se (0.723, 0.277, 0.723)
Se (0.277, 0.723, 0.723)

Values from the calculation:
- raw total energy (eV/cell) = -35.3

[3]
The following is a PBE calculation of InAg2P2 after structural relaxation, from OQMD.

Cell: 6.065 6.065 11.550 Å, 90.00 90.00 149.07°
Positions (direct):
Ag (0.500, 0.500, 0.000)
Ag (0.275, 0.725, 0.250)
Ag (0.500, 0.500, 0.500)
Ag (0.725, 0.275, 0.750)
In (0.023, 0.977, 0.250)
In (0.977, 0.023, 0.750)
P (0.297, 0.703, 0.043)
P (0.297, 0.703, 0.457)
P (0.703, 0.297, 0.543)
P (0.703, 0.297, 0.957)

Values from the calculation:
- raw total energy (eV/cell) = -37.9